DFT (GGA-PBE) results for an optimized crystal structure of CsLiS.

Properties
The formation energy without anion corrections comes out at -0.83 eV per atom. Its spin magnetization is 0.00 μB/f.u. As for the space-group type: R3m.

```
data_CsLiS
_symmetry_space_group_name_H-M 'P 1'
_symmetry_Int_Tables_number 1
_cell_length_a 4.787
_cell_length_b 4.787
_cell_length_c 4.787
_cell_angle_alpha 74.70
_cell_angle_beta 74.70
_cell_angle_gamma 74.70
loop_
_symmetry_equiv_pos_as_xyz
'x,y,z'
loop_
_atom_site_label
_atom_site_type_symbol
_atom_site_fract_x
_atom_site_fract_y
_atom_site_fract_z
Li1 Li 0.852 0.852 0.852
S1 S 0.073 0.073 0.073
Cs1 Cs 0.404 0.404 0.404
```



DFT (GGA-PBE) results for an optimized crystal structure of CsLiS2.

Properties
The formation energy without anion corrections comes out at -0.17 eV per atom. Its spin magnetization is 2.00 μB/f.u. As for the space-group type: R-3m.

```
data_CsLiS2
_symmetry_space_group_name_H-M 'P 1'
_symmetry_Int_Tables_number 1
_cell_length_a 8.594
_cell_length_b 8.594
_cell_length_c 8.594
_cell_angle_alpha 28.57
_cell_angle_beta 28.57
_cell_angle_gamma 28.57
loop_
_symmetry_equiv_pos_as_xyz
'x,y,z'
loop_
_atom_site_label
_atom_site_type_symbol
_atom_site_fract_x
_atom_site_fract_y
_atom_site_fract_z
S1 S 0.872 0.872 0.872
S2 S 0.128 0.128 0.128
Cs1 Cs 0.000 0.000 0.000
Li1 Li 0.500 0.500 0.500
```